Entry 1:
# Cu2HPd | Alexandria via LeMat-Bulk | PBE-GGA | relaxed
# Energy = -4.160 eV per atom
# Density = 9.24 g/cm³
data_Cu2HPd
_chemical_formula_sum 'Cu6 H3 Pd3'
_cell_length_a 2.7323
_cell_length_b 2.7323
_cell_length_c 19.5490
_cell_angle_alpha 90.00
_cell_angle_beta 90.00
_cell_angle_gamma 120.00
_symmetry_space_group_name_H-M 'R -3 m'
_symmetry_Int_Tables_number 166
_symmetry_space_group_name_Hall '-R 3 2"'
loop_
_atom_site_label
_atom_site_fract_x
_atom_site_fract_y
_atom_site_fract_z
_atom_site_occupancy
Cu1 0.0000 0.0000 0.2222 1
H1 0.0000 0.0000 0.5000 1
Pd1 0.0000 0.0000 0.0000 1

Entry 2:
# CuH3Pd6 | Alexandria via LeMat-Bulk | PBE-GGA | relaxed
# Energy = -4.577 eV per atom
# Density = 10.26 g/cm³
data_CuH3Pd6
_chemical_formula_sum 'Cu2 H6 Pd12'
_cell_length_a 9.185
_cell_length_b 2.799
_cell_length_c 9.195
_cell_angle_alpha 90.00
_cell_angle_beta 105.20
_cell_angle_gamma 90.00
_symmetry_space_group_name_H-M 'P 1 21/m 1'
_symmetry_Int_Tables_number 11
_symmetry_space_group_name_Hall '-P 2yb'
loop_
_atom_site_label
_atom_site_fract_x
_atom_site_fract_y
_atom_site_fract_z
_atom_site_occupancy
Cu1 0.035 0.250 0.136 1
H1 0.175 0.250 0.549 1
H2 0.357 0.750 0.073 1
H3 0.497 0.750 0.668 1
Pd1 0.092 0.750 0.401 1
Pd2 0.174 0.750 0.707 1
Pd3 0.226 0.250 0.973 1
Pd4 0.311 0.750 0.258 1
Pd5 0.382 0.250 0.553 1
Pd6 0.467 0.750 0.859 1

Entry 3:
# Cu2H3Pd8 | Alexandria via LeMat-Bulk | PBE-GGA | relaxed
# Energy = -4.648 eV per atom
# Density = 10.30 g/cm³
data_Cu2H3Pd8
_chemical_formula_sum 'Cu2 H3 Pd8'
_cell_length_a 2.808
_cell_length_b 5.027
_cell_length_c 11.412
_cell_angle_alpha 99.33
_cell_angle_beta 92.18
_cell_angle_gamma 94.84
_symmetry_space_group_name_H-M 'P -1'
_symmetry_Int_Tables_number 2
_symmetry_space_group_name_Hall '-P 1'
loop_
_atom_site_label
_atom_site_fract_x
_atom_site_fract_y
_atom_site_fract_z
_atom_site_occupancy
Cu1 0.220 0.344 0.297 1
H1 0.000 0.000 0.500 1
H2 0.297 0.668 0.186 1
Pd1 0.221 0.162 0.694 1
Pd2 0.250 0.557 0.897 1
Pd3 0.252 0.955 0.102 1
Pd4 0.305 0.732 0.512 1

Entry 4:
# CuHPd | Alexandria via LeMat-Bulk | PBE-GGA | relaxed
# Energy = -4.142 eV per atom
# Density = 8.72 g/cm³
data_CuHPd
_chemical_formula_sum 'Cu8 H8 Pd8'
_cell_length_a 3.268
_cell_length_b 3.268
_cell_length_c 24.405
_cell_angle_alpha 90.00
_cell_angle_beta 90.00
_cell_angle_gamma 90.00
_symmetry_space_group_name_H-M 'P 41 2 2'
_symmetry_Int_Tables_number 91
_symmetry_space_group_name_Hall 'P 4w 2c'
loop_
_atom_site_label
_atom_site_fract_x
_atom_site_fract_y
_atom_site_fract_z
_atom_site_occupancy
Cu1 0.247 0.249 0.210 1
H1 0.249 0.433 0.465 1
Pd1 0.244 0.252 0.658 1

Entry 5:
# Cu2H3Pd8 | Alexandria via LeMat-Bulk | PBE-GGA | relaxed
# Energy = -4.564 eV per atom
# Density = 10.00 g/cm³
data_Cu2H3Pd8
_chemical_formula_sum 'Cu4 H6 Pd16'
_cell_length_a 13.002
_cell_length_b 5.592
_cell_length_c 4.732
_cell_angle_alpha 90.00
_cell_angle_beta 108.59
_cell_angle_gamma 90.00
_symmetry_space_group_name_H-M 'C 1 2/m 1'
_symmetry_Int_Tables_number 12
_symmetry_space_group_name_Hall '-C 2y'
loop_
_atom_site_label
_atom_site_fract_x
_atom_site_fract_y
_atom_site_fract_z
_atom_site_occupancy
Cu1 0.249 0.000 0.006 1
H1 0.000 0.167 0.500 1
H2 0.000 0.500 0.000 1
Pd1 0.073 0.252 0.846 1
Pd2 0.137 0.000 0.404 1
Pd3 0.143 0.500 0.401 1

Entry 6:
# CuHPd2 | Alexandria via LeMat-Bulk | PBE-GGA | relaxed
# Energy = -4.465 eV per atom
# Density = 9.67 g/cm³
data_CuHPd2
_chemical_formula_sum 'Cu4 H4 Pd8'
_cell_length_a 5.970
_cell_length_b 5.970
_cell_length_c 5.345
_cell_angle_alpha 90.00
_cell_angle_beta 90.00
_cell_angle_gamma 90.00
_symmetry_space_group_name_H-M 'I -4 2 d'
_symmetry_Int_Tables_number 122
_symmetry_space_group_name_Hall 'I -4 2bw'
loop_
_atom_site_label
_atom_site_fract_x
_atom_site_fract_y
_atom_site_fract_z
_atom_site_occupancy
Cu1 0.000 0.000 0.000 1
H1 0.000 0.000 0.500 1
Pd1 0.154 0.250 0.625 1

Entry 7:
# Cu3H5Pd12 | Alexandria via LeMat-Bulk | PBE-GGA | relaxed
# Energy = -4.530 eV per atom
# Density = 9.73 g/cm³
data_Cu3H5Pd12
_chemical_formula_sum 'Cu24 H40 Pd96'
_cell_length_a 12.622
_cell_length_b 12.622
_cell_length_c 12.622
_cell_angle_alpha 90.00
_cell_angle_beta 90.00
_cell_angle_gamma 90.00
_symmetry_space_group_name_H-M 'I a -3 d'
_symmetry_Int_Tables_number 230
_symmetry_space_group_name_Hall '-I 4bd 2c 3'
loop_
_atom_site_label
_atom_site_fract_x
_atom_site_fract_y
_atom_site_fract_z
_atom_site_occupancy
Cu1 0.000 0.250 0.125 1
H1 0.000 0.000 0.000 1
H2 0.000 0.250 0.375 1
Pd1 0.040 0.052 0.647 1

Entry 8:
# Cu2H2Pd | Alexandria via LeMat-Bulk | PBE-GGA | relaxed
# Energy = -3.987 eV per atom
# Density = 7.60 g/cm³
data_Cu2H2Pd
_chemical_formula_sum 'Cu2 H2 Pd1'
_cell_length_a 3.712
_cell_length_b 3.712
_cell_length_c 3.735
_cell_angle_alpha 90.00
_cell_angle_beta 90.00
_cell_angle_gamma 90.00
_symmetry_space_group_name_H-M 'P 4/m m m'
_symmetry_Int_Tables_number 123
_symmetry_space_group_name_Hall '-P 4 2'
loop_
_atom_site_label
_atom_site_fract_x
_atom_site_fract_y
_atom_site_fract_z
_atom_site_occupancy
Cu1 0.000 0.500 0.000 1
H1 0.000 0.500 0.500 1
Pd1 0.000 0.000 0.500 1